Record 1
The following is a GGA-PBE calculation of crystalline Nd3MgCu2 at its relaxed geometry, from the Alexandria database.

Summary:
- energy of formation (eV per atom) = -0.120
- space group = P4/mmm
- calculated total energy (eV/cell) = -24.808

```
6
Lattice="3.6176 0.0000 0.0000 0.0000 3.6176 0.0000 0.0000 0.0000 11.5701" Properties=species:S:1:pos:R:3 pbc="T T T"
Nd 0.0000 0.0000 0.0000
Nd 0.0000 0.0000 3.5456
Nd 0.0000 0.0000 8.0246
Mg 1.8088 1.8088 5.7851
Cu 1.8088 1.8088 1.8367
Cu 1.8088 1.8088 9.7335
```

Record 2
The following is a GGA-PBE calculation of crystalline Re3IrN at its relaxed geometry, from the Alexandria database.

Summary:
- energy relative to the lowest polymorph listed for this composition (meV/atom) = 0
- formation energy (no corrections) (meV per atom) = 197
- space group = Pm-3m
- calculated total energy (eV/cell) = -53.547

```
5
Lattice="4.0469 0.0000 0.0000 0.0000 4.0469 0.0000 0.0000 0.0000 4.0469" Properties=species:S:1:pos:R:3 pbc="T T T"
Re 0.0000 0.0000 2.0234
Re 0.0000 2.0234 0.0000
Re 2.0234 0.0000 0.0000
Ir 2.0234 2.0234 2.0234
N 0.0000 0.0000 0.0000
```

Record 3
The following is a GGA-PBE calculation of crystalline Nd5Bi2Rh at its relaxed geometry, from the Alexandria database.

Summary:
- energy of formation (eV per atom) = -0.439
- space group = I4mm
- calculated total energy (eV/cell) = -42.467

```
8
Lattice="-3.6522 3.6522 4.5536 3.6522 -3.6522 4.5536 3.6522 3.6522 -4.5536" Properties=species:S:1:pos:R:3 pbc="T T T"
Nd 0.0000 0.0000 0.0000
Nd 1.8216 1.8216 2.1832
Nd 1.8306 -1.8306 6.7368
Nd -1.8306 1.8306 6.7368
Nd 1.8306 1.8306 6.7368
Bi 3.6522 0.0000 4.4828
Bi 0.0000 3.6522 4.4828
Rh 0.0000 0.0000 3.4649
```

Record 4
The following is a GGA-PBE calculation of crystalline PaReNi2N4 at its relaxed geometry, from the Alexandria database.

Summary:
- formation energy (no corrections) (meV per atom) = -397
- space group = I222
- calculated total energy (eV/cell) = -69.981

```
8
Lattice="-2.4420 2.6510 3.5381 2.4420 -2.6510 3.5381 2.4420 2.6510 -3.5381" Properties=species:S:1:pos:R:3 pbc="T T T"
Pa 0.0000 0.0000 0.0000
Re 0.0000 0.0000 3.5381
Ni 2.4420 0.0000 2.1882
Ni 0.0000 2.6510 1.3499
N 1.5083 1.4135 -1.1225
N 3.3757 1.4135 1.1225
N 0.9337 1.2375 2.4156
N -0.9337 1.2375 4.6606
```

Record 5
The following is a GGA-PBE calculation of crystalline HoCd6Hg12 at its relaxed geometry, from the Alexandria database.

Summary:
- energy relative to the lowest polymorph listed for this composition (meV/atom) = 5
- energy of formation (eV per atom) = -0.039
- space group = R-3
- calculated total energy (eV/cell) = -14.435

```
19
Lattice="5.6957 3.2884 4.3309 -5.6957 3.2884 4.3309 0.0000 -6.5769 4.3309" Properties=species:S:1:pos:R:3 pbc="T T T"
Ho 0.0000 0.0000 0.0000
Cd -0.8372 -3.4583 4.9292
Cd -3.4136 -1.0042 8.0636
Cd -2.5764 2.4542 4.9292
Cd 2.5764 -2.4542 8.0636
Cd 3.4136 1.0042 4.9292
Cd 0.8372 3.4583 8.0636
Hg -1.9109 0.3851 2.3939
Hg 0.6220 -1.8474 2.3939
Hg -1.9652 -0.6140 5.2543
Hg 1.2889 1.4623 2.3939
Hg -0.4509 -2.0089 7.7385
Hg 1.5143 -1.3949 5.2543
Hg -1.5143 1.3949 7.7385
Hg 0.4509 2.0089 5.2543
Hg -1.2889 -1.4623 10.5989
Hg 1.9652 0.6140 7.7385
Hg -0.6220 1.8474 10.5989
Hg 1.9109 -0.3851 10.5989
```

Record 6
The following is a GGA-PBE calculation of crystalline Sm6Te3Pb at its relaxed geometry, from the Alexandria database.

Summary:
- formation energy (no corrections) (meV per atom) = -889
- space group = P2_1/m
- calculated total energy (eV/cell) = -100.678

```
20
Lattice="12.4081 0.0000 0.0000 0.0000 4.2607 0.0000 -3.3174 0.0000 12.3924" Properties=species:S:1:pos:R:3 pbc="T T T"
Sm -1.0127 1.0652 4.4130
Sm -1.9105 1.0652 11.0581
Sm 2.1572 3.1955 3.6534
Sm 1.0827 3.1955 9.4189
Sm 2.9333 1.0652 6.6889
Sm 5.0838 3.1955 1.4517
Sm 4.0070 1.0652 10.9407
Sm 6.1575 3.1955 5.7035
Sm 8.0081 1.0652 2.9734
Sm 6.9336 1.0652 8.7390
Sm 11.0013 3.1955 1.3343
Sm 10.1035 3.1955 7.9794
Te 0.8275 1.0652 1.7881
Te 0.4677 3.1955 6.3100
Te 1.0788 1.0652 11.6982
Te 8.0120 3.1955 0.6942
Te 8.6231 1.0652 6.0823
Te 8.2633 3.1955 10.6043
Pb 4.6367 1.0652 3.8428
Pb 4.4541 3.1955 8.5496
```

Record 7
The following is a GGA-PBE calculation of crystalline AcSmPtCl at its relaxed geometry, from the Alexandria database.

Summary:
- formation energy (no corrections) (meV per atom) = -1354
- space group = R3m
- calculated total energy (eV/cell) = -22.130

```
4
Lattice="2.1169 1.2222 7.8263 -2.1169 1.2222 7.8263 0.0000 -2.4444 7.8263" Properties=species:S:1:pos:R:3 pbc="T T T"
Ac 0.0000 0.0000 0.0000
Sm 0.0000 0.0000 4.5988
Pt 0.0000 0.0000 13.9104
Cl 0.0000 0.0000 18.1005
```

Record 8
The following is a GGA-PBE calculation of crystalline Sc3CoRh2 at its relaxed geometry, from the Alexandria database.

Summary:
- energy relative to the lowest polymorph listed for this composition (meV/atom) = 9
- energy of formation (eV per atom) = -0.793
- space group = P-3m1
- calculated total energy (eV/cell) = -91.127

```
12
Lattice="4.5250 0.0000 0.0000 -2.2625 3.9187 0.0000 0.0000 0.0000 11.0544" Properties=species:S:1:pos:R:3 pbc="T T T"
Sc 0.0000 0.0000 2.7167
Sc 0.0000 0.0000 8.3377
Sc 0.0000 2.6125 4.5637
Sc 0.0000 2.6125 10.1437
Sc 2.2625 1.3062 0.9107
Sc 2.2625 1.3062 6.4907
Co 0.0000 2.6125 1.8338
Co 2.2625 1.3062 9.2206
Rh 0.0000 0.0000 0.0000
Rh 0.0000 0.0000 5.5272
Rh 0.0000 2.6125 7.3882
Rh 2.2625 1.3062 3.6662
```

Record 9
The following is a GGA-PBE calculation of crystalline BaPaRhO6 at its relaxed geometry, from the Alexandria database.

Summary:
- formation energy (no corrections) (meV per atom) = -2024
- space group = P312
- calculated total energy (eV/cell) = -66.739

```
9
Lattice="5.6682 0.0000 0.0000 -2.8341 4.9088 0.0000 0.0000 0.0000 4.8949" Properties=species:S:1:pos:R:3 pbc="T T T"
Ba 0.0000 0.0000 0.0000
Pa 0.0000 3.2726 2.4475
Rh 2.8341 1.6363 0.0000
O 2.2939 0.0925 3.6920
O 1.2271 1.9403 1.2029
O 3.3744 0.0925 1.2029
O 1.7673 2.8760 3.6920
O 4.4412 1.9403 3.6920
O 3.9009 2.8760 1.2029
```

Record 10
The following is a GGA-PBE calculation of crystalline Cs4K3Tl at its relaxed geometry, from the Alexandria database.

Summary:
- energy of formation (eV per atom) = 0.053
- space group = I4/mcm
- calculated total energy (eV/cell) = -17.297

```
16
Lattice="-8.8983 8.8983 4.1737 8.8983 -8.8983 4.1737 8.8983 8.8983 -4.1737" Properties=species:S:1:pos:R:3 pbc="T T T"
Cs 13.7443 1.6059 0.0000
Cs 1.6059 4.0523 0.0000
Cs 10.5043 4.8460 0.0000
Cs 4.8460 7.2924 0.0000
Cs 4.0523 1.6059 4.1737
Cs -1.6059 4.0523 4.1737
Cs 7.2924 4.8460 4.1737
Cs -4.8460 7.2924 4.1737
K 6.7411 2.1572 0.0000
K 0.0000 0.0000 2.0868
K 6.7411 -2.1572 4.1737
K 2.1572 11.0555 0.0000
K 0.0000 0.0000 6.2605
K 2.1572 6.7411 4.1737
Tl 8.8983 0.0000 2.0868
Tl 0.0000 8.8983 2.0868
```

Record 11
The following is a GGA-PBE calculation of crystalline VGaRe3 at its relaxed geometry, from the Alexandria database.

Summary:
- energy relative to the lowest polymorph listed for this composition (meV/atom) = 173
- energy of formation (eV per atom) = 1.863
- space group = Pm-3m
- calculated total energy (eV/cell) = -40.177

```
5
Lattice="4.4671 0.0000 0.0000 0.0000 4.4671 0.0000 0.0000 0.0000 4.4671" Properties=species:S:1:pos:R:3 pbc="T T T"
V 0.0000 0.0000 0.0000
Ga 2.2336 2.2336 2.2336
Re 0.0000 2.2336 2.2336
Re 2.2336 0.0000 2.2336
Re 2.2336 2.2336 0.0000
```

Record 12
The following is a GGA-PBE calculation of crystalline LiMn4Zn at its relaxed geometry, from the Alexandria database.

Summary:
- energy of formation (eV per atom) = 0.345
- space group = F-43m
- calculated total energy (eV/cell) = -37.797

```
6
Lattice="0.0000 3.3128 3.3128 3.3128 0.0000 3.3128 3.3128 3.3128 0.0000" Properties=species:S:1:pos:R:3 pbc="T T T"
Li 0.0000 0.0000 0.0000
Mn 4.1420 2.4837 2.4837
Mn 2.4837 4.1420 2.4837
Mn 2.4837 2.4837 4.1420
Mn 4.1420 4.1420 4.1420
Zn 1.6564 1.6564 1.6564
```